Record 1
Entry from OQMD: a relaxed structure of CuAg (PBE).

Cell and atoms, written as CIF:
```
data_CuAg
_space_group_name_H-M_alt 'P 1'
_space_group_IT_number 1
_cell_length_a 3.898
_cell_length_b 9.905
_cell_length_c 9.905
_cell_angle_alpha 22.99
_cell_angle_beta 90.00
_cell_angle_gamma 90.00
loop_
_space_group_symop_operation_xyz
'x,y,z'
loop_
_atom_site_label
_atom_site_fract_x
_atom_site_fract_y
_atom_site_fract_z
Cu1 0.000 0.000 0.000
Cu2 0.000 0.192 0.192
Cu3 0.000 0.602 0.602
Cu4 0.500 0.282 0.282
Cu5 0.500 0.692 0.692
Ag1 0.000 0.391 0.391
Ag2 0.000 0.784 0.784
Ag3 0.500 0.100 0.100
Ag4 0.500 0.499 0.499
Ag5 0.500 0.892 0.892
```

Output
* DFT formation energy: 90 meV per atom
* crystal system: orthorhombic

Record 2
Entry from OQMD: a relaxed structure of Cu4Ag5 (PBE).

Cell and atoms, written as CIF:
```
data_Cu4Ag5
_space_group_name_H-M_alt 'P 1'
_space_group_IT_number 1
_cell_length_a 4.837
_cell_length_b 4.837
_cell_length_c 8.373
_cell_angle_alpha 106.60
_cell_angle_beta 106.60
_cell_angle_gamma 47.56
loop_
_space_group_symop_operation_xyz
'x,y,z'
loop_
_atom_site_label
_atom_site_fract_x
_atom_site_fract_y
_atom_site_fract_z
Cu1 0.171 0.171 0.051
Cu2 0.178 0.178 0.741
Cu3 0.822 0.822 0.259
Cu4 0.829 0.829 0.949
Ag1 0.168 0.168 0.378
Ag2 0.490 0.490 0.159
Ag3 0.500 0.500 0.500
Ag4 0.510 0.510 0.841
Ag5 0.832 0.832 0.622
```

Output
* relative energy among the computed polymorphs: 55 meV per atom
* DFT formation energy: 93 meV per atom
* crystal system: monoclinic

Record 3
Entry from OQMD: a relaxed structure of CuAg (PBE).

Cell and atoms, written as CIF:
```
data_CuAg
_space_group_name_H-M_alt 'P 1'
_space_group_IT_number 1
_cell_length_a 2.865
_cell_length_b 3.365
_cell_length_c 36.950
_cell_angle_alpha 90.00
_cell_angle_beta 90.00
_cell_angle_gamma 90.00
loop_
_space_group_symop_operation_xyz
'x,y,z'
loop_
_atom_site_label
_atom_site_fract_x
_atom_site_fract_y
_atom_site_fract_z
Cu1 0.250 0.250 0.017
Cu2 0.250 0.250 0.086
Cu3 0.250 0.250 0.155
Cu4 0.250 0.250 0.811
Cu5 0.250 0.250 0.879
Cu6 0.250 0.250 0.948
Cu7 0.750 0.750 0.052
Cu8 0.750 0.750 0.121
Cu9 0.750 0.750 0.189
Cu10 0.750 0.750 0.845
Cu11 0.750 0.750 0.914
Cu12 0.750 0.750 0.983
Ag1 0.250 0.250 0.230
Ag2 0.250 0.250 0.329
Ag3 0.250 0.250 0.427
Ag4 0.250 0.250 0.524
Ag5 0.250 0.250 0.622
Ag6 0.250 0.250 0.720
Ag7 0.750 0.750 0.280
Ag8 0.750 0.750 0.378
Ag9 0.750 0.750 0.476
Ag10 0.750 0.750 0.573
Ag11 0.750 0.750 0.671
Ag12 0.750 0.750 0.770
```

Output
* DFT formation energy: 46 meV per atom
* crystal system: orthorhombic

Record 4
Entry from OQMD: a relaxed structure of CuAg (PBE).

Cell and atoms, written as CIF:
```
data_CuAg
_space_group_name_H-M_alt 'P 1'
_space_group_IT_number 1
_cell_length_a 5.704
_cell_length_b 5.704
_cell_length_c 3.681
_cell_angle_alpha 90.00
_cell_angle_beta 90.00
_cell_angle_gamma 90.00
loop_
_space_group_symop_operation_xyz
'x,y,z'
loop_
_atom_site_label
_atom_site_fract_x
_atom_site_fract_y
_atom_site_fract_z
Cu1 0.000 0.225 0.000
Cu2 0.000 0.775 0.000
Cu3 0.225 0.000 0.500
Cu4 0.775 0.000 0.500
Ag1 0.236 0.500 0.500
Ag2 0.500 0.236 0.000
Ag3 0.500 0.764 0.000
Ag4 0.764 0.500 0.500
```

Output
* DFT formation energy: 90 meV per atom
* crystal system: tetragonal

Record 5
Entry from OQMD: a relaxed structure of CuAg (PBE).

Cell and atoms, written as CIF:
```
data_CuAg
_space_group_name_H-M_alt 'P 1'
_space_group_IT_number 1
_cell_length_a 22.011
_cell_length_b 22.011
_cell_length_c 22.011
_cell_angle_alpha 7.33
_cell_angle_beta 7.33
_cell_angle_gamma 7.33
loop_
_space_group_symop_operation_xyz
'x,y,z'
loop_
_atom_site_label
_atom_site_fract_x
_atom_site_fract_y
_atom_site_fract_z
Cu1 0.000 0.000 0.000
Cu2 0.096 0.096 0.096
Cu3 0.304 0.304 0.304
Cu4 0.401 0.401 0.401
Cu5 0.608 0.608 0.608
Ag1 0.204 0.204 0.204
Ag2 0.500 0.500 0.500
Ag3 0.700 0.700 0.700
Ag4 0.796 0.796 0.796
Ag5 0.908 0.908 0.908
```

Output
* DFT formation energy: 93 meV per atom
* crystal system: trigonal

Record 6
Entry from OQMD: a relaxed structure of CuAg (PBE).

Cell and atoms, written as CIF:
```
data_CuAg
_space_group_name_H-M_alt 'P 1'
_space_group_IT_number 1
_cell_length_a 3.941
_cell_length_b 9.906
_cell_length_c 9.906
_cell_angle_alpha 22.73
_cell_angle_beta 90.00
_cell_angle_gamma 90.00
loop_
_space_group_symop_operation_xyz
'x,y,z'
loop_
_atom_site_label
_atom_site_fract_x
_atom_site_fract_y
_atom_site_fract_z
Cu1 0.000 0.000 0.000
Cu2 0.000 0.192 0.192
Cu3 0.000 0.781 0.781
Cu4 0.500 0.101 0.101
Cu5 0.500 0.691 0.691
Ag1 0.000 0.391 0.391
Ag2 0.000 0.600 0.600
Ag3 0.500 0.284 0.284
Ag4 0.500 0.499 0.499
Ag5 0.500 0.891 0.891
```

Output
* DFT formation energy: 89 meV per atom
* crystal system: orthorhombic

Record 7
Entry from OQMD: a relaxed structure of CuAg (PBE).

Cell and atoms, written as CIF:
```
data_CuAg
_space_group_name_H-M_alt 'P 1'
_space_group_IT_number 1
_cell_length_a 2.824
_cell_length_b 3.707
_cell_length_c 14.271
_cell_angle_alpha 90.00
_cell_angle_beta 90.00
_cell_angle_gamma 90.00
loop_
_space_group_symop_operation_xyz
'x,y,z'
loop_
_atom_site_label
_atom_site_fract_x
_atom_site_fract_y
_atom_site_fract_z
Cu1 0.000 0.000 0.000
Cu2 0.000 0.000 0.199
Cu3 0.000 0.000 0.398
Cu4 0.000 0.000 0.597
Cu5 0.500 0.500 0.684
Ag1 0.000 0.000 0.784
Ag2 0.500 0.500 0.099
Ag3 0.500 0.500 0.298
Ag4 0.500 0.500 0.498
Ag5 0.500 0.500 0.899
```

Output
* DFT formation energy: 97 meV per atom
* crystal system: orthorhombic

Record 8
Entry from OQMD: a relaxed structure of CuAg (PBE).

Cell and atoms, written as CIF:
```
data_CuAg
_space_group_name_H-M_alt 'P 1'
_space_group_IT_number 1
_cell_length_a 10.065
_cell_length_b 10.065
_cell_length_c 3.873
_cell_angle_alpha 90.00
_cell_angle_beta 90.00
_cell_angle_gamma 157.60
loop_
_space_group_symop_operation_xyz
'x,y,z'
loop_
_atom_site_label
_atom_site_fract_x
_atom_site_fract_y
_atom_site_fract_z
Cu1 0.000 0.000 0.000
Cu2 0.300 0.700 0.500
Cu3 0.400 0.600 0.000
Cu4 0.600 0.400 0.000
Cu5 0.700 0.300 0.500
Ag1 0.100 0.900 0.500
Ag2 0.200 0.800 0.000
Ag3 0.500 0.500 0.500
Ag4 0.800 0.200 0.000
Ag5 0.900 0.100 0.500
```

Output
* DFT formation energy: 104 meV per atom
* crystal system: orthorhombic